Cs2SnSbTe4 | GGA-PBE | relaxed

Cell: 7.301 8.915 13.128 Å, 83.46 73.85 65.83°
Fractional positions:
Te: 0.934 0.797 0.863
Te: 0.816 0.703 0.637
Te: 0.269 0.797 0.137
Cs: 0.561 0.500 0.878
Te: 0.594 0.203 0.137
Cs: 0.811 0.000 0.378
Cs: 0.939 0.500 0.122
Sn: 0.250 0.500 0.500
Sn: 0.500 0.000 0.000
Sb: 0.750 0.500 0.500
Te: 0.156 0.297 0.363
Te: 0.481 0.703 0.363
Cs: 0.189 0.000 0.622
Sb: 0.000 0.000 0.000
Te: 0.547 0.297 0.637
Te: 0.203 0.203 0.863

energy relative to the elements, uncorrected: -4.08 eV per formula unit